Compound: TiVIO2
Source: the Alexandria database
Functional: PBE with a Hubbard U
Structure: relaxed

Unit cell a=4.1132 b=4.1132 c=5.4776 alpha=90.00 beta=90.00 gamma=90.00
Positions (direct):
Ti  0.0000  0.0000  0.0000
V  0.5000  0.5000  0.0000
I  0.5000  0.5000  0.5000
O  0.0000  0.5000  0.5000
O  0.5000  0.0000  0.5000

Summary:
Space-group type   P4/mmm (123)
Total magnetic moment   4.1 μB per formula unit
DOS(E_F)   4.7 states/eV/f.u.
Relative energy among the computed polymorphs   1907 meV per atom